(1)
The following is a DFT calculation (GGA-PBE) of crystalline Sr2AlSb at its relaxed geometry.

```
data_Sr2AlSb
_chemical_formula_sum 'Sr2 Al1 Sb1'
_cell_length_a 4.992
_cell_length_b 4.432
_cell_length_c 6.528
_cell_angle_alpha 90.00
_cell_angle_beta 112.48
_cell_angle_gamma 90.00
_symmetry_space_group_name_H-M 'P 1 m 1'
_symmetry_Int_Tables_number 6
_symmetry_space_group_name_Hall 'P -2y'
loop_
_atom_site_label
_atom_site_fract_x
_atom_site_fract_y
_atom_site_fract_z
_atom_site_occupancy
Sr1 0.000 0.000 0.000 1
Sr2 0.278 0.500 0.557 1
Al1 0.717 0.000 0.436 1
Sb1 0.568 0.500 0.136 1
```

Results
**E_form (uncorrected)**: -0.603 eV per atom
**N(E_F)**: 2.57 states/eV/cell
**Calculated volume**: 33.365 A^3/atom

=====

(2)
The following is a DFT calculation (GGA-PBE) of crystalline SrAl2Sb3 at its relaxed geometry.

```
data_SrAl2Sb3
_chemical_formula_sum 'Sr4 Al8 Sb12'
_cell_length_a 25.856
_cell_length_b 4.274
_cell_length_c 6.974
_cell_angle_alpha 90.00
_cell_angle_beta 102.91
_cell_angle_gamma 90.00
_symmetry_space_group_name_H-M 'C 1 2/m 1'
_symmetry_Int_Tables_number 12
_symmetry_space_group_name_Hall '-C 2y'
loop_
_atom_site_label
_atom_site_fract_x
_atom_site_fract_y
_atom_site_fract_z
_atom_site_occupancy
Sr1 0.139 0.000 0.379 1
Al1 0.057 0.500 0.951 1
Al2 0.209 0.000 0.021 1
Sb1 0.036 0.500 0.321 1
Sb2 0.106 0.000 0.836 1
Sb3 0.236 0.500 0.277 1
```

Results
**E_form (uncorrected)**: -0.297 eV per atom
**N(E_F)**: 9.01 states/eV/cell
**Calculated volume**: 31.298 A^3/atom

=====

(3)
The following is a DFT calculation (GGA-PBE) of crystalline Sr2AlSb at its relaxed geometry.

```
data_Sr2AlSb
_chemical_formula_sum 'Sr4 Al2 Sb2'
_cell_length_a 4.193
_cell_length_b 5.177
_cell_length_c 11.867
_cell_angle_alpha 90.00
_cell_angle_beta 90.00
_cell_angle_gamma 90.00
_symmetry_space_group_name_H-M 'I m m 2'
_symmetry_Int_Tables_number 44
_symmetry_space_group_name_Hall 'I 2 -2'
loop_
_atom_site_label
_atom_site_fract_x
_atom_site_fract_y
_atom_site_fract_z
_atom_site_occupancy
Sr1 0.000 0.000 0.000 1
Sr2 0.000 0.500 0.227 1
Al1 0.000 0.000 0.445 1
Sb1 0.000 0.500 0.781 1
```

Results
**E_form (uncorrected)**: -0.483 eV per atom
**N(E_F)**: 4.89 states/eV/cell
**Calculated volume**: 32.195 A^3/atom

=====

(4)
The following is a DFT calculation (GGA-PBE) of crystalline SrAl2Sb at its relaxed geometry.

```
data_SrAl2Sb
_chemical_formula_sum 'Sr2 Al4 Sb2'
_cell_length_a 4.385
_cell_length_b 4.539
_cell_length_c 10.802
_cell_angle_alpha 90.00
_cell_angle_beta 90.00
_cell_angle_gamma 90.00
_symmetry_space_group_name_H-M 'I m m 2'
_symmetry_Int_Tables_number 44
_symmetry_space_group_name_Hall 'I 2 -2'
loop_
_atom_site_label
_atom_site_fract_x
_atom_site_fract_y
_atom_site_fract_z
_atom_site_occupancy
Sr1 0.000 0.000 0.000 1
Al1 0.000 0.000 0.402 1
Al2 0.000 0.500 0.742 1
Sb1 0.000 0.500 0.239 1
```

Results
**E_form (uncorrected)**: -0.187 eV per atom
**N(E_F)**: 3.72 states/eV/cell
**Calculated volume**: 26.871 A^3/atom

=====

(5)
The following is a DFT calculation (GGA-PBE) of crystalline Sr2AlSb at its relaxed geometry.

```
data_Sr2AlSb
_chemical_formula_sum 'Sr4 Al2 Sb2'
_cell_length_a 5.532
_cell_length_b 5.543
_cell_length_c 9.072
_cell_angle_alpha 90.00
_cell_angle_beta 90.00
_cell_angle_gamma 90.00
_symmetry_space_group_name_H-M 'C m m 2'
_symmetry_Int_Tables_number 35
_symmetry_space_group_name_Hall 'C 2 -2'
loop_
_atom_site_label
_atom_site_fract_x
_atom_site_fract_y
_atom_site_fract_z
_atom_site_occupancy
Sr1 0.000 0.000 0.000 1
Sr2 0.000 0.500 0.383 1
Al1 0.000 0.000 0.628 1
Sb1 0.000 0.500 0.755 1
```

Results
**E_form (uncorrected)**: -0.285 eV per atom
**N(E_F)**: 3.22 states/eV/cell
**Calculated volume**: 34.773 A^3/atom

=====

(6)
The following is a DFT calculation (GGA-PBE) of crystalline Sr2AlSb at its relaxed geometry.

```
data_Sr2AlSb
_chemical_formula_sum 'Sr2 Al1 Sb1'
_cell_length_a 3.996
_cell_length_b 4.340
_cell_length_c 7.352
_cell_angle_alpha 90.00
_cell_angle_beta 90.00
_cell_angle_gamma 90.00
_symmetry_space_group_name_H-M 'P m m m'
_symmetry_Int_Tables_number 47
_symmetry_space_group_name_Hall '-P 2 2'
loop_
_atom_site_label
_atom_site_fract_x
_atom_site_fract_y
_atom_site_fract_z
_atom_site_occupancy
Sr1 0.000 0.000 0.244 1
Al1 0.500 0.500 0.500 1
Sb1 0.500 0.500 0.000 1
```

Results
**E_form (uncorrected)**: -0.482 eV per atom
**N(E_F)**: 1.69 states/eV/cell
**Calculated volume**: 31.877 A^3/atom

=====

(7)
The following is a DFT calculation (GGA-PBE) of crystalline SrAl2Sb at its relaxed geometry.

```
data_SrAl2Sb
_chemical_formula_sum 'Sr3 Al6 Sb3'
_cell_length_a 4.8669
_cell_length_b 4.8669
_cell_length_c 16.6702
_cell_angle_alpha 90.00
_cell_angle_beta 90.00
_cell_angle_gamma 120.00
_symmetry_space_group_name_H-M 'R -3 m'
_symmetry_Int_Tables_number 166
_symmetry_space_group_name_Hall '-R 3 2"'
loop_
_atom_site_label
_atom_site_fract_x
_atom_site_fract_y
_atom_site_fract_z
_atom_site_occupancy
Sr1 0.0000 0.0000 0.0000 1
Al1 0.0000 0.0000 0.2100 1
Sb1 0.0000 0.0000 0.5000 1
```

Results
**E_form (uncorrected)**: -0.068 eV per atom
**N(E_F)**: 11.16 states/eV/cell
**Calculated volume**: 28.496 A^3/atom

=====

(8)
The following is a DFT calculation (GGA-PBE) of crystalline Sr2AlSb at its relaxed geometry.

```
data_Sr2AlSb
_chemical_formula_sum 'Sr6 Al3 Sb3'
_cell_length_a 4.4372
_cell_length_b 4.4372
_cell_length_c 26.9471
_cell_angle_alpha 90.00
_cell_angle_beta 90.00
_cell_angle_gamma 120.00
_symmetry_space_group_name_H-M 'R 3 m'
_symmetry_Int_Tables_number 160
_symmetry_space_group_name_Hall 'R 3 -2"'
loop_
_atom_site_label
_atom_site_fract_x
_atom_site_fract_y
_atom_site_fract_z
_atom_site_occupancy
Sr1 0.0000 0.0000 0.0000 1
Sr2 0.0000 0.0000 0.1997 1
Al1 0.0000 0.0000 0.4561 1
Sb1 0.0000 0.0000 0.7494 1
```

Results
**E_form (uncorrected)**: -0.346 eV per atom
**N(E_F)**: 2.21 states/eV/cell
**Calculated volume**: 38.289 A^3/atom